4
Lattice="4.114 0.000 0.000 0.000 3.259 0.295 0.000 2.627 7.556" Properties=species:S:1:pos:R:3 comment="ScBePb2, optimized geometry, DFT PBE" vol_a3_per_cell=98.1 magnetic_moment_mub_per_fu=0.00 delta_e_f_ev_per_atom=0.14 pbc="T T T"
Pb 0.000 4.702 7.261
Be 2.057 4.861 5.455
Pb 2.057 1.847 2.424
Sc 0.000 3.305 4.486